(1)
Compound: CsTiAg2
Source: Alexandria
Functional: PBE
Structure: optimized geometry

Summary:
Mass density: 6.021 g/cm3
Final energy: -2.6129 eV per atom
Energy relative to the elements: 0.9999 eV per atom
Density of states at the Fermi level: 8.61 states/eV/cell

```
4
Lattice="0.0000 3.7955 3.7955 3.7955 0.0000 3.7955 3.7955 3.7955 0.0000" Properties=species:S:1:pos:R:3 pbc="T T T"
Cs 0.0000 0.0000 0.0000
Ti 3.7955 3.7955 3.7955
Ag 1.8977 1.8977 1.8977
Ag 5.6932 5.6932 5.6932
```

=====

(2)
Compound: CsTi2Ag2
Source: Alexandria
Functional: PBE
Structure: optimized geometry

Summary:
Mass density: 6.001 g/cm3
Final energy: -3.8655 eV per atom
Energy relative to the elements: 0.6037 eV per atom
Density of states at the Fermi level: 10.74 states/eV/cell

```
10
Lattice="8.9210 0.0000 0.0000 0.0000 8.9210 0.0000 0.0000 0.0000 3.0900" Properties=species:S:1:pos:R:3 pbc="T T T"
Cs 0.0000 0.0000 0.0000
Cs 4.4605 4.4605 0.0000
Ti 0.8753 3.5852 1.5450
Ti 3.5852 8.0457 1.5450
Ti 5.3358 0.8753 1.5450
Ti 8.0457 5.3358 1.5450
Ag 1.5977 6.0582 0.0000
Ag 2.8627 1.5977 0.0000
Ag 6.0582 7.3232 0.0000
Ag 7.3232 2.8627 0.0000
```

=====

(3)
Compound: CsTi2Ag2
Source: Alexandria
Functional: PBE
Structure: optimized geometry

Summary:
Mass density: 5.411 g/cm3
Final energy: -4.0080 eV per atom
Energy relative to the elements: 0.4612 eV per atom
Density of states at the Fermi level: 4.68 states/eV/cell

```
5
Lattice="-1.9102 1.9102 9.3429 1.9102 -1.9102 9.3429 1.9102 1.9102 -9.3429" Properties=species:S:1:pos:R:3 pbc="T T T"
Cs 0.0000 0.0000 0.0000
Ti 1.9102 0.0000 4.6715
Ti 0.0000 1.9102 4.6715
Ag 0.0000 0.0000 6.7375
Ag 0.0000 0.0000 11.9483
```

=====

(4)
Compound: CsTiAg3
Source: Alexandria
Functional: PBE
Structure: optimized geometry

Summary:
Mass density: 4.054 g/cm3
Final energy: -1.7459 eV per atom
Energy relative to the elements: 1.7146 eV per atom
Density of states at the Fermi level: 4.93 states/eV/cell

```
5
Lattice="5.9116 0.0000 0.0000 0.0000 5.9116 0.0000 0.0000 0.0000 5.9116" Properties=species:S:1:pos:R:3 pbc="T T T"
Cs 0.0000 0.0000 0.0000
Ti 2.9558 2.9558 2.9558
Ag 0.0000 0.0000 2.9558
Ag 0.0000 2.9558 0.0000
Ag 2.9558 0.0000 0.0000
```

=====

(5)
Compound: CsTl2Ag
Source: Alexandria
Functional: PBE
Structure: optimized geometry

Summary:
Mass density: 6.823 g/cm3
Final energy: -2.1178 eV per atom
Energy relative to the elements: -0.0085 eV per atom
Density of states at the Fermi level: 2.00 states/eV/cell

```
4
Lattice="2.5802 1.4897 6.8546 -2.5802 1.4897 6.8546 0.0000 -2.9794 6.8546" Properties=species:S:1:pos:R:3 pbc="T T T"
Cs 0.0000 0.0000 0.0000
Tl 0.0000 0.0000 10.7674
Tl 0.0000 0.0000 16.4668
Ag 0.0000 0.0000 3.9076
```

=====

(6)
Compound: Cs5Tl6Ag
Source: Alexandria
Functional: PBE
Structure: optimized geometry

Summary:
Mass density: 5.381 g/cm3
Final energy: -1.8113 eV per atom
Energy relative to the elements: -0.0349 eV per atom
Density of states at the Fermi level: 11.35 states/eV/cell

```
12
Lattice="4.0472 -8.6320 0.0000 4.0472 8.6320 0.0000 -3.6784 0.0000 8.8273" Properties=species:S:1:pos:R:3 pbc="T T T"
Cs 0.0000 0.0000 0.0000
Cs 4.0472 3.7279 0.0000
Cs 2.2080 2.3764 4.4136
Cs 2.2080 -2.3764 4.4136
Cs 4.0472 -3.7279 0.0000
Tl 2.1689 6.1610 2.8545
Tl 2.2471 6.1610 5.9727
Tl -0.1751 0.0000 7.1344
Tl 4.5911 0.0000 1.6929
Tl 2.1689 -6.1610 2.8545
Tl 2.2471 -6.1610 5.9727
Ag -1.8392 0.0000 4.4136
```

=====

(7)
Compound: Cs2TlAg2
Source: Alexandria
Functional: PBE
Structure: optimized geometry

Summary:
Mass density: 4.782 g/cm3
Final energy: -1.5957 eV per atom
Energy relative to the elements: 0.3595 eV per atom
Density of states at the Fermi level: 3.92 states/eV/cell

```
5
Lattice="-2.8299 2.8299 7.4350 2.8299 -2.8299 7.4350 2.8299 2.8299 -7.4350" Properties=species:S:1:pos:R:3 pbc="T T T"
Cs 2.8299 0.0000 3.7175
Cs 0.0000 2.8299 3.7175
Tl 0.0000 0.0000 0.0000
Ag 0.0000 0.0000 6.0643
Ag 0.0000 0.0000 8.8057
```

=====

(8)
Compound: Cs2Tl2Ag
Source: Alexandria
Functional: PBE
Structure: optimized geometry

Summary:
Mass density: 5.603 g/cm3
Final energy: -1.8540 eV per atom
Energy relative to the elements: 0.0042 eV per atom
Density of states at the Fermi level: 6.13 states/eV/cell

```
10
Lattice="4.3287 -6.4144 0.0000 4.3287 6.4144 0.0000 -3.0355 0.0000 8.3513" Properties=species:S:1:pos:R:3 pbc="T T T"
Cs 1.5219 4.2374 6.2086
Cs 4.0999 4.2374 2.1428
Cs 1.5219 -4.2374 6.2086
Cs 4.0999 -4.2374 2.1428
Tl 0.6610 0.0000 5.6695
Tl 2.7659 0.0000 0.3829
Tl 2.8560 0.0000 7.9684
Tl 4.9608 0.0000 2.6818
Ag 2.8109 1.3907 4.1757
Ag 2.8109 -1.3907 4.1757
```

=====

(9)
Compound: CsTl6Ag
Source: Alexandria
Functional: PBE
Structure: optimized geometry

Summary:
Mass density: 8.914 g/cm3
Final energy: -2.2247 eV per atom
Energy relative to the elements: 0.0131 eV per atom
Density of states at the Fermi level: 4.37 states/eV/cell

```
8
Lattice="5.3104 0.0000 0.0000 0.0000 5.3104 0.0000 0.0000 0.0000 9.6909" Properties=species:S:1:pos:R:3 pbc="T T T"
Cs 0.0000 0.0000 0.0000
Tl 0.0000 2.6552 3.2701
Tl 0.0000 2.6552 6.4208
Tl 2.6552 0.0000 3.2701
Tl 2.6552 0.0000 6.4208
Tl 2.6552 2.6552 1.5438
Tl 2.6552 2.6552 8.1471
Ag 0.0000 0.0000 4.8454
```

=====

(10)
Compound: CsTlAg
Source: Alexandria
Functional: PBE
Structure: optimized geometry

Summary:
Mass density: 6.555 g/cm3
Final energy: -2.0016 eV per atom
Energy relative to the elements: 0.0221 eV per atom
Density of states at the Fermi level: 3.29 states/eV/cell

```
6
Lattice="6.9056 -2.4097 0.0000 6.9056 2.4097 0.0000 -0.2622 0.0000 6.7769" Properties=species:S:1:pos:R:3 pbc="T T T"
Cs 0.0000 0.0000 0.0000
Cs 7.8370 0.0000 3.3780
Tl 3.6800 0.0000 5.2707
Tl 11.5811 0.0000 3.2167
Ag 3.7326 0.0000 1.6676
Ag 10.1662 0.0000 0.1879
```

=====

(11)
Compound: Cs2TlAg
Source: Alexandria
Functional: PBE
Structure: optimized geometry

Summary:
Mass density: 4.533 g/cm3
Final energy: -1.7055 eV per atom
Energy relative to the elements: 0.0256 eV per atom
Density of states at the Fermi level: 3.55 states/eV/cell

```
4
Lattice="6.1691 -3.7871 0.0000 6.1691 3.7871 0.0000 -1.9756 0.0000 4.5322" Properties=species:S:1:pos:R:3 pbc="T T T"
Cs 1.9699 0.0000 0.8625
Cs 8.3927 0.0000 3.6697
Tl 6.1691 -0.0076 0.0000
Ag 5.1813 1.4766 2.2661
```

=====

(12)
Compound: CsTlAg2
Source: Alexandria
Functional: PBE
Structure: optimized geometry

Summary:
Mass density: 6.946 g/cm3
Final energy: -1.9453 eV per atom
Energy relative to the elements: 0.2853 eV per atom
Density of states at the Fermi level: 1.17 states/eV/cell

```
4
Lattice="0.0000 4.0433 4.0433 4.0433 0.0000 4.0433 4.0433 4.0433 0.0000" Properties=species:S:1:pos:R:3 pbc="T T T"
Cs 0.0000 0.0000 0.0000
Tl 4.0433 4.0433 4.0433
Ag 2.0216 2.0216 2.0216
Ag 6.0649 6.0649 6.0649
```

=====

(13)
Compound: CsTl3Ag
Source: Alexandria
Functional: PBE
Structure: optimized geometry

Summary:
Mass density: 7.468 g/cm3
Final energy: -2.0542 eV per atom
Energy relative to the elements: 0.1065 eV per atom
Density of states at the Fermi level: 5.50 states/eV/cell

```
5
Lattice="5.7476 0.0000 0.0000 0.0000 5.7476 0.0000 0.0000 0.0000 5.7476" Properties=species:S:1:pos:R:3 pbc="T T T"
Cs 0.0000 0.0000 0.0000
Tl 0.0000 2.8738 2.8738
Tl 2.8738 0.0000 2.8738
Tl 2.8738 2.8738 0.0000
Ag 2.8738 2.8738 2.8738
```

=====

(14)
Compound: Cs4Tl5Ag
Source: Alexandria
Functional: PBE
Structure: optimized geometry

Summary:
Mass density: 5.836 g/cm3
Final energy: -1.8761 eV per atom
Energy relative to the elements: -0.0664 eV per atom
Density of states at the Fermi level: 2.66 states/eV/cell

```
10
Lattice="-5.6690 5.6690 3.6775 5.6690 -5.6690 3.6775 5.6690 5.6690 -3.6775" Properties=species:S:1:pos:R:3 pbc="T T T"
Cs 3.3941 0.0104 0.0000
Cs 5.6586 -2.2749 3.6775
Cs 0.0104 7.9439 0.0000
Cs 2.2749 5.6586 3.6775
Tl 7.2559 4.0725 -0.1728
Tl 4.0725 4.0820 -0.1728
Tl 1.5965 1.5870 3.5047
Tl -1.5870 1.5965 3.5047
Tl 0.0000 0.0000 5.8095
Ag 0.0000 0.0000 1.3716
```

=====

(15)
Compound: Cs2Tl2Ag
Source: Alexandria
Functional: PBE
Structure: optimized geometry

Summary:
Mass density: 5.244 g/cm3
Final energy: -1.5630 eV per atom
Energy relative to the elements: 0.2951 eV per atom
Density of states at the Fermi level: 13.45 states/eV/cell

```
10
Lattice="11.6349 0.0000 0.0000 0.0000 11.6349 0.0000 0.0000 0.0000 3.6605" Properties=species:S:1:pos:R:3 pbc="T T T"
Cs 2.3737 3.4438 0.0000
Cs 3.4438 9.2613 0.0000
Cs 8.1911 2.3737 0.0000
Cs 9.2613 8.1911 0.0000
Tl 1.0559 6.8734 1.8302
Tl 4.7616 1.0559 1.8302
Tl 6.8734 10.5790 1.8302
Tl 10.5790 4.7616 1.8302
Ag 0.0000 0.0000 0.0000
Ag 5.8175 5.8175 0.0000
```

=====

(16)
Compound: CsTlAg
Source: Alexandria
Functional: PBE
Structure: optimized geometry

Summary:
Mass density: 6.337 g/cm3
Final energy: -1.9905 eV per atom
Energy relative to the elements: 0.0332 eV per atom
Density of states at the Fermi level: 3.39 states/eV/cell

```
6
Lattice="5.1689 -4.3444 0.0000 5.1689 4.3444 0.0000 -3.2159 0.0000 5.1948" Properties=species:S:1:pos:R:3 pbc="T T T"
Cs 0.4572 0.0000 2.2379
Cs 6.6648 0.0000 2.9569
Tl 3.7025 1.3296 0.8197
Tl 3.4195 1.3296 4.3751
Ag 3.7638 -1.5786 0.3553
Ag 3.3582 -1.5786 4.8395
```

=====

(17)
Compound: CsTlAg
Source: Alexandria
Functional: PBE
Structure: optimized geometry

Summary:
Mass density: 6.144 g/cm3
Final energy: -2.0138 eV per atom
Energy relative to the elements: 0.0099 eV per atom
Density of states at the Fermi level: 3.41 states/eV/cell

```
6
Lattice="-3.0461 3.6905 5.3513 3.0461 -3.6905 5.3513 3.0461 3.6905 -5.3513" Properties=species:S:1:pos:R:3 pbc="T T T"
Cs 0.0000 0.0000 0.0000
Cs 0.0000 3.6905 2.4987
Tl 3.0461 0.0000 3.8101
Tl 0.0000 0.0000 4.8895
Ag 3.0461 1.4525 1.3266
Ag 0.0000 2.2380 6.6779
```

=====

(18)
Compound: Cs4Tl4Ag
Source: Alexandria
Functional: PBE
Structure: optimized geometry

Summary:
Mass density: 5.267 g/cm3
Final energy: -1.7492 eV per atom
Energy relative to the elements: -0.0014 eV per atom
Density of states at the Fermi level: 6.75 states/eV/cell

```
9
Lattice="-3.3396 3.3396 10.2973 3.3396 -3.3396 10.2973 3.3396 3.3396 -10.2973" Properties=species:S:1:pos:R:3 pbc="T T T"
Cs 1.7880 -1.7880 7.1763
Cs 1.5516 1.5516 3.1209
Cs -1.7880 1.7880 7.1763
Cs 1.7880 1.7880 13.4182
Tl 1.9448 1.9448 -0.9850
Tl 1.3949 -1.3949 11.2823
Tl 1.3949 1.3949 9.3123
Tl -1.3949 1.3949 11.2823
Ag 0.0000 0.0000 0.0000
```

=====

(19)
Compound: CsTlAg
Source: Alexandria
Functional: PBE
Structure: optimized geometry

Summary:
Mass density: 6.185 g/cm3
Final energy: -1.9849 eV per atom
Energy relative to the elements: 0.0388 eV per atom
Density of states at the Fermi level: 2.66 states/eV/cell

```
6
Lattice="8.0802 -2.2201 0.0000 8.0802 2.2201 0.0000 -3.4943 0.0000 6.6625" Properties=species:S:1:pos:R:3 pbc="T T T"
Cs 2.2912 0.0000 1.2065
Cs 10.3749 0.0000 5.4560
Tl 7.1089 0.0000 1.8429
Tl 5.5572 0.0000 4.8196
Ag -0.5016 0.0000 3.9873
Ag 13.1677 0.0000 2.6752
```

=====

(20)
Compound: Cs6TlAg
Source: Alexandria
Functional: PBE
Structure: optimized geometry

Summary:
Mass density: 2.787 g/cm3
Final energy: -1.2904 eV per atom
Energy relative to the elements: 0.0020 eV per atom
Density of states at the Fermi level: 6.69 states/eV/cell

```
8
Lattice="5.1097 0.0000 0.0000 0.0000 7.5960 8.5163 0.0000 -7.5960 8.5163" Properties=species:S:1:pos:R:3 pbc="T T T"
Cs 0.0000 0.0000 0.0000
Cs 0.0000 -2.3217 5.0263
Cs 0.0000 2.3217 5.0263
Cs 2.5549 -3.1246 9.1354
Cs 2.5549 0.0000 12.3785
Cs 2.5549 3.1246 9.1354
Tl 0.0000 0.0000 8.5226
Ag 2.5549 0.0000 7.0729
```

=====

(21)
Compound: CsTlAg2
Source: Alexandria
Functional: PBE
Structure: optimized geometry

Summary:
Mass density: 5.746 g/cm3
Final energy: -2.1051 eV per atom
Energy relative to the elements: 0.1255 eV per atom
Density of states at the Fermi level: 4.71 states/eV/cell

```
8
Lattice="-2.8409 2.8409 9.9007 2.8409 -2.8409 9.9007 2.8409 2.8409 -9.9007" Properties=species:S:1:pos:R:3 pbc="T T T"
Cs 2.8409 1.4204 2.4752
Cs 0.0000 1.4204 7.4255
Tl 2.8409 -1.4204 7.4255
Tl 0.0000 4.2613 2.4752
Ag 0.0000 0.0000 0.0000
Ag 1.4204 1.4204 -4.9503
Ag 1.4204 -1.4204 4.9503
Ag 0.0000 2.8409 0.0000
```

=====

(22)
Compound: Cs3Tl2Ag
Source: Alexandria
Functional: PBE
Structure: optimized geometry

Summary:
Mass density: 4.744 g/cm3
Final energy: -1.6953 eV per atom
Energy relative to the elements: -0.0045 eV per atom
Density of states at the Fermi level: 8.57 states/eV/cell

```
12
Lattice="9.2920 -2.5297 0.0000 9.2920 2.5297 0.0000 -7.4845 0.0000 13.6313" Properties=species:S:1:pos:R:3 pbc="T T T"
Cs 0.0579 0.0000 3.3587
Cs -1.4346 0.0000 7.5950
Cs -0.9580 0.0000 13.5598
Cs 12.0575 0.0000 0.0715
Cs 12.5341 0.0000 6.0363
Cs 11.0416 0.0000 10.2725
Tl -3.7608 0.0000 10.7167
Tl 6.2428 0.0000 5.1232
Tl 4.8567 0.0000 8.5081
Tl 14.8602 0.0000 2.9146
Ag 4.0115 0.0000 3.0319
Ag 7.0880 0.0000 10.5994
```

=====

(23)
Compound: Cs4Tl2Ag
Source: Alexandria
Functional: PBE
Structure: optimized geometry

Summary:
Mass density: 3.449 g/cm3
Final energy: -1.4903 eV per atom
Energy relative to the elements: 0.0809 eV per atom
Density of states at the Fermi level: 6.09 states/eV/cell

```
7
Lattice="-3.7357 3.7357 9.0405 3.7357 -3.7357 9.0405 3.7357 3.7357 -9.0405" Properties=species:S:1:pos:R:3 pbc="T T T"
Cs 3.7357 0.0000 0.0000
Cs 0.0000 0.0000 3.6045
Cs 0.0000 3.7357 0.0000
Cs 0.0000 0.0000 14.4766
Tl 0.0000 0.0000 7.5461
Tl 0.0000 0.0000 10.5350
Ag 0.0000 0.0000 0.0000
```

=====

(24)
Compound: CsTlAg
Source: Alexandria
Functional: PBE
Structure: optimized geometry

Summary:
Mass density: 6.196 g/cm3
Final energy: -1.9887 eV per atom
Energy relative to the elements: 0.0350 eV per atom
Density of states at the Fermi level: 3.38 states/eV/cell

```
6
Lattice="4.6099 0.0000 0.0000 -0.0044 6.1162 0.0000 -2.2406 -0.1500 8.4628" Properties=species:S:1:pos:R:3 pbc="T T T"
Cs 0.0000 0.0000 0.0000
Cs 0.0709 3.0906 2.7530
Tl 2.3728 5.9313 4.2097
Tl 2.3780 3.0120 5.9443
Ag 0.0718 0.8866 5.6554
Ag 0.0735 2.8708 7.7713
```

=====

(25)
Compound: CsTl4Ag
Source: Alexandria
Functional: PBE
Structure: optimized geometry

Summary:
Mass density: 7.977 g/cm3
Final energy: -2.2104 eV per atom
Energy relative to the elements: -0.0154 eV per atom
Density of states at the Fermi level: 5.81 states/eV/cell

```
12
Lattice="10.3197 -4.0493 0.0000 10.3197 4.0493 0.0000 -1.4477 0.0000 5.2717" Properties=species:S:1:pos:R:3 pbc="T T T"
Cs 3.9816 0.0000 1.0907
Cs 15.2100 0.0000 4.1809
Tl 7.6881 2.0263 2.1117
Tl 10.3197 2.5555 0.0000
Tl 11.5035 2.0263 3.1600
Tl 6.1560 0.0000 4.5204
Tl 13.0357 0.0000 0.7512
Tl 7.6881 -2.0263 2.1117
Tl 10.3197 -2.5555 0.0000
Tl 11.5035 -2.0263 3.1600
Ag 9.9457 0.0000 1.3386
Ag 9.2459 0.0000 3.9331
```